# 1
# Nd5Tl2Te2

An optimized crystal structure of Nd5Tl2Te2 (PBE, the Alexandria database).

abc: 16.080 8.389 8.381
angles: 90.00 90.00 90.00
Space group Cmce (No. 64)
One atom of each set of equivalent atoms:
Nd1 0.000 0.000 0.000 (multiplicity 4)
Nd2 0.139 0.170 0.336 (multiplicity 16)
Tl1 0.000 0.131 0.628 (multiplicity 8)
Te1 0.200 0.000 0.000 (multiplicity 8)

Raw formation energy   -833 meV per atom
Fermi-level density of states   42.385 states/eV per cell
Magnetization   0.000 μB per atom
DFT total energy   -4.71 eV/atom
ρ   8.138 g/cm³

***

# 2
# Cs2AgCl4

An optimized crystal structure of Cs2AgCl4 (PBE, the Alexandria database).

abc: 7.836 7.836 4.626
angles: 90.00 90.00 90.00
Space group P4/mmm (No. 123)
One atom of each set of equivalent atoms:
Cs1 0.000 0.500 0.000 (multiplicity 2)
Ag1 0.000 0.000 0.500 (multiplicity 1)
Cl1 0.223 0.223 0.500 (multiplicity 4)

Raw formation energy   -1326 meV per atom
Fermi-level density of states   1.622 states/eV per cell
Magnetization   0.144 μB per atom
DFT total energy   -3.03 eV/atom
ρ   3.013 g/cm³

***

# 3
# K2OsRu

An optimized crystal structure of K2OsRu (PBE, the Alexandria database).

abc: 3.782 3.782 11.299
angles: 90.00 90.00 90.00
Space group I4/mmm (No. 139)
One atom of each set of equivalent atoms:
K1 0.000 0.500 0.250 (multiplicity 4)
Os1 0.000 0.000 0.000 (multiplicity 2)
Ru1 0.000 0.000 0.500 (multiplicity 2)

Fermi-level density of states   5.726 states/eV per cell
Magnetization   0.000 μB per atom
Energy of formation   1.339 eV/atom
DFT total energy   -4.34 eV/atom
ρ   7.592 g/cm³

***

# 4
# MnV2Pt

An optimized crystal structure of MnV2Pt (PBE, the Alexandria database).

abc: 3.732 3.732 3.910
angles: 90.00 90.00 90.00
Space group P4/mmm (No. 123)
One atom of each set of equivalent atoms:
Mn1 0.000 0.000 0.000 (multiplicity 1)
V1 0.000 0.500 0.500 (multiplicity 2)
Pt1 0.500 0.500 0.000 (multiplicity 1)

Fermi-level density of states   4.676 states/eV per cell
Magnetization   0.418 μB per atom
Energy of formation   -0.288 eV/atom
DFT total energy   -8.65 eV/atom
ρ   10.727 g/cm³